Entry 1:
First-principles (PBE) data for LiHgBiPt after structural relaxation, as listed in OQMD via LeMat-Bulk.

```
LiHgBiPt
1.0
0.7058 -4.3957 1.8855
1.1097 -0.4725 4.6820
-3.2344 -1.8591 3.0753
Bi Hg Li Pt
1 1 1 1
direct
0.5000 0.5000 0.5000 Bi
0.0000 0.0000 0.0000 Hg
0.7500 0.7500 0.7500 Li
0.2500 0.2500 0.2500 Pt
```

Output
E above lowest polymorph in meV per atom: 0
M_tot in μB per formula unit: 0.0
Electronic total energy in eV/atom: -3.313



Entry 2:
First-principles (PBE) data for LiHgBiPt after structural relaxation, as listed in OQMD via LeMat-Bulk.

```
LiHgBiPt
1.0
0.0000 3.4459 3.4459
3.4459 0.0000 3.4459
3.4459 3.4459 0.0000
Bi Hg Li Pt
1 1 1 1
direct
0.0000 0.0000 0.0000 Bi
0.2500 0.2500 0.2500 Hg
0.7500 0.7500 0.7500 Li
0.5000 0.5000 0.5000 Pt
```

Output
E above lowest polymorph in meV per atom: 192
M_tot in μB per formula unit: 0.0
Electronic total energy in eV/atom: -3.120



Entry 3:
First-principles (PBE) data for LiHgBiS3 after structural relaxation, as listed in OQMD via LeMat-Bulk.

```
LiHgBiS3
1.0
-6.2045 -0.4919 4.6719
3.7501 -2.4521 -6.3631
4.9429 -7.4415 5.7808
Bi Hg Li S
2 2 2 6
direct
0.0000 0.0000 0.0000 Bi
0.0000 0.0000 0.5000 Bi
0.6270 0.3730 0.2500 Hg
0.3730 0.6270 0.7500 Hg
0.3762 0.6238 0.2500 Li
0.6238 0.3762 0.7500 Li
0.6301 0.3699 0.0279 S
0.9459 0.0541 0.2500 S
0.6301 0.3699 0.4721 S
0.3699 0.6301 0.5279 S
0.0541 0.9459 0.7500 S
0.3699 0.6301 0.9721 S
```

Output
Electronic total energy in eV/atom: -3.556